[1]
First-principles (GGA-PBE) data for Be3CdAu after structural relaxation, as listed in Alexandria.

CIF file:
```
data_Be3CdAu
_space_group_name_H-M_alt 'P m -3 m'
_space_group_IT_number 221
_space_group_name_Hall '-P 4 2 3'
_cell_length_a 4.393
_cell_length_b 4.393
_cell_length_c 4.393
_cell_angle_alpha 90.00
_cell_angle_beta 90.00
_cell_angle_gamma 90.00
loop_
_atom_site_label
_atom_site_type_symbol
_atom_site_fract_x
_atom_site_fract_y
_atom_site_fract_z
Be1 Be 0.000 0.000 0.500
Cd1 Cd 0.500 0.500 0.500
Au1 Au 0.000 0.000 0.000
```

Calculated values
Energy of formation from the pure elements (eV per atom): 0.49
VASP energy (eV/atom): -2.583

[2]
First-principles (GGA-PBE) data for Be2CdAu after structural relaxation, as listed in Alexandria.

CIF file:
```
data_Be2CdAu
_space_group_name_H-M_alt 'I -4 m 2'
_space_group_IT_number 119
_space_group_name_Hall 'I -4 -2'
_cell_length_a 3.713
_cell_length_b 3.713
_cell_length_c 8.166
_cell_angle_alpha 90.00
_cell_angle_beta 90.00
_cell_angle_gamma 90.00
loop_
_atom_site_label
_atom_site_type_symbol
_atom_site_fract_x
_atom_site_fract_y
_atom_site_fract_z
Be1 Be 0.000 0.000 0.000
Be2 Be 0.000 0.500 0.250
Cd1 Cd 0.000 0.500 0.750
Au1 Au 0.000 0.000 0.500
```

Calculated values
Energy of formation from the pure elements (eV per atom): 0.22
VASP energy (eV/atom): -2.690

[3]
First-principles (GGA-PBE) data for Be2CdAu after structural relaxation, as listed in Alexandria.

CIF file:
```
data_Be2CdAu
_space_group_name_H-M_alt 'P 1 m 1'
_space_group_IT_number 6
_cell_length_a 2.854
_cell_length_b 3.905
_cell_length_c 5.234
_cell_angle_alpha 90.00
_cell_angle_beta 105.51
_cell_angle_gamma 90.00
loop_
_space_group_symop_operation_xyz
'x,y,z'
'x,-y,z'
loop_
_atom_site_label
_atom_site_type_symbol
_atom_site_fract_x
_atom_site_fract_y
_atom_site_fract_z
Be1 Be 0.000 0.000 0.000
Be2 Be 0.119 0.500 0.238
Cd1 Cd 0.728 0.000 0.460
Au1 Au 0.426 0.500 0.849
```

Calculated values
Energy of formation from the pure elements (eV per atom): 0.14
VASP energy (eV/atom): -2.773

[4]
First-principles (GGA-PBE) data for Be2CdAu after structural relaxation, as listed in Alexandria.

CIF file:
```
data_Be2CdAu
_space_group_name_H-M_alt 'P 1 2/m 1'
_space_group_IT_number 10
_cell_length_a 4.312
_cell_length_b 2.918
_cell_length_c 4.834
_cell_angle_alpha 90.00
_cell_angle_beta 108.05
_cell_angle_gamma 90.00
loop_
_space_group_symop_operation_xyz
'x,y,z'
'-x,-y,-z'
'-x,y,-z'
'x,-y,z'
loop_
_atom_site_label
_atom_site_type_symbol
_atom_site_fract_x
_atom_site_fract_y
_atom_site_fract_z
Be1 Be 0.000 0.000 0.000
Be2 Be 0.000 0.500 0.500
Cd1 Cd 0.500 0.000 0.500
Au1 Au 0.500 0.500 0.000
```

Calculated values
Energy of formation from the pure elements (eV per atom): 0.30
VASP energy (eV/atom): -2.615

[5]
First-principles (GGA-PBE) data for Be2CdAu after structural relaxation, as listed in Alexandria.

CIF file:
```
data_Be2CdAu
_space_group_name_H-M_alt 'C 1 m 1'
_space_group_IT_number 8
_cell_length_a 8.904
_cell_length_b 2.974
_cell_length_c 4.426
_cell_angle_alpha 90.00
_cell_angle_beta 106.63
_cell_angle_gamma 90.00
loop_
_space_group_symop_operation_xyz
'x,y,z'
'x,-y,z'
'x+1/2,y+1/2,z'
'x+1/2,-y+1/2,z'
loop_
_atom_site_label
_atom_site_type_symbol
_atom_site_fract_x
_atom_site_fract_y
_atom_site_fract_z
Be1 Be 0.000 0.000 0.000
Be2 Be 0.208 0.500 0.244
Cd1 Cd 0.229 0.000 0.760
Au1 Au 0.448 0.000 0.394
```

Calculated values
Energy of formation from the pure elements (eV per atom): 0.16
VASP energy (eV/atom): -2.751

[6]
First-principles (GGA-PBE) data for Be2Cd5Au12 after structural relaxation, as listed in Alexandria.

CIF file:
```
data_Be2Cd5Au12
_space_group_name_H-M_alt 'C 1 2/m 1'
_space_group_IT_number 12
_cell_length_a 14.739
_cell_length_b 6.579
_cell_length_c 7.663
_cell_angle_alpha 90.00
_cell_angle_beta 104.76
_cell_angle_gamma 90.00
loop_
_space_group_symop_operation_xyz
'x,y,z'
'-x,-y,-z'
'-x,y,-z'
'x,-y,z'
'x+1/2,y+1/2,z'
'-x+1/2,-y+1/2,-z'
'-x+1/2,y+1/2,-z'
'x+1/2,-y+1/2,z'
loop_
_atom_site_label
_atom_site_type_symbol
_atom_site_fract_x
_atom_site_fract_y
_atom_site_fract_z
Be1 Be 0.000 0.186 0.000
Cd1 Cd 0.000 0.500 0.500
Cd2 Cd 0.241 0.000 0.016
Cd3 Cd 0.246 0.000 0.472
Au1 Au 0.013 0.000 0.271
Au2 Au 0.051 0.500 0.871
Au3 Au 0.144 0.222 0.685
Au4 Au 0.147 0.278 0.202
```

Calculated values
Energy of formation from the pure elements (eV per atom): -0.08
VASP energy (eV/atom): -2.785

[7]
First-principles (GGA-PBE) data for BeCd2Au after structural relaxation, as listed in Alexandria.

CIF file:
```
data_BeCd2Au
_space_group_name_H-M_alt 'I -4 m 2'
_space_group_IT_number 119
_space_group_name_Hall 'I -4 -2'
_cell_length_a 4.162
_cell_length_b 4.162
_cell_length_c 8.022
_cell_angle_alpha 90.00
_cell_angle_beta 90.00
_cell_angle_gamma 90.00
loop_
_atom_site_label
_atom_site_type_symbol
_atom_site_fract_x
_atom_site_fract_y
_atom_site_fract_z
Be1 Be 0.000 0.000 0.000
Cd1 Cd 0.000 0.000 0.500
Cd2 Cd 0.000 0.500 0.750
Au1 Au 0.000 0.500 0.250
```

Calculated values
Energy of formation from the pure elements (eV per atom): 0.17
VASP energy (eV/atom): -2.037

[8]
First-principles (GGA-PBE) data for Be2CdAu6 after structural relaxation, as listed in Alexandria.

CIF file:
```
data_Be2CdAu6
_space_group_name_H-M_alt 'I m m m'
_space_group_IT_number 71
_space_group_name_Hall '-I 2 2'
_cell_length_a 3.324
_cell_length_b 8.866
_cell_length_c 10.624
_cell_angle_alpha 90.00
_cell_angle_beta 90.00
_cell_angle_gamma 90.00
loop_
_atom_site_label
_atom_site_type_symbol
_atom_site_fract_x
_atom_site_fract_y
_atom_site_fract_z
Be1 Be 0.000 0.158 0.000
Cd1 Cd 0.000 0.500 0.000
Au1 Au 0.000 0.000 0.179
Au2 Au 0.000 0.234 0.365
```

Calculated values
Energy of formation from the pure elements (eV per atom): -0.07
VASP energy (eV/atom): -3.188

[9]
First-principles (GGA-PBE) data for Be2CdAu after structural relaxation, as listed in Alexandria.

CIF file:
```
data_Be2CdAu
_space_group_name_H-M_alt 'I -4 2 d'
_space_group_IT_number 122
_space_group_name_Hall 'I -4 2bw'
_cell_length_a 6.800
_cell_length_b 6.800
_cell_length_c 5.534
_cell_angle_alpha 90.00
_cell_angle_beta 90.00
_cell_angle_gamma 90.00
loop_
_atom_site_label
_atom_site_type_symbol
_atom_site_fract_x
_atom_site_fract_y
_atom_site_fract_z
Be1 Be 0.210 0.250 0.125
Cd1 Cd 0.000 0.000 0.500
Au1 Au 0.000 0.000 0.000
```

Calculated values
Energy of formation from the pure elements (eV per atom): 0.45
VASP energy (eV/atom): -2.462

[10]
First-principles (GGA-PBE) data for BeCd6Au10 after structural relaxation, as listed in Alexandria.

CIF file:
```
data_BeCd6Au10
_space_group_name_H-M_alt 'P -3 1 m'
_space_group_IT_number 162
_space_group_name_Hall '-P 3 2'
_cell_length_a 8.2383
_cell_length_b 8.2383
_cell_length_c 5.5496
_cell_angle_alpha 90.00
_cell_angle_beta 90.00
_cell_angle_gamma 120.00
loop_
_atom_site_label
_atom_site_type_symbol
_atom_site_fract_x
_atom_site_fract_y
_atom_site_fract_z
Be1 Be 0.0000 0.0000 0.0000
Cd1 Cd 0.0000 0.3969 0.7611
Au1 Au 0.0000 0.2239 0.2766
Au2 Au 0.3333 0.6667 0.0000
Au3 Au 0.3333 0.6667 0.5000
```

Calculated values
Energy of formation from the pure elements (eV per atom): -0.09
VASP energy (eV/atom): -2.556

[11]
First-principles (GGA-PBE) data for BeCd2Au after structural relaxation, as listed in Alexandria.

CIF file:
```
data_BeCd2Au
_space_group_name_H-M_alt 'C 1 m 1'
_space_group_IT_number 8
_cell_length_a 12.040
_cell_length_b 2.917
_cell_length_c 4.426
_cell_angle_alpha 90.00
_cell_angle_beta 110.96
_cell_angle_gamma 90.00
loop_
_space_group_symop_operation_xyz
'x,y,z'
'x,-y,z'
'x+1/2,y+1/2,z'
'x+1/2,-y+1/2,z'
loop_
_atom_site_label
_atom_site_type_symbol
_atom_site_fract_x
_atom_site_fract_y
_atom_site_fract_z
Be1 Be 0.000 0.000 0.000
Cd1 Cd 0.020 0.500 0.520
Cd2 Cd 0.212 0.500 0.212
Au1 Au 0.332 0.000 0.830
```

Calculated values
Energy of formation from the pure elements (eV per atom): 0.05
VASP energy (eV/atom): -2.161

[12]
First-principles (GGA-PBE) data for BeCd2Au after structural relaxation, as listed in Alexandria.

CIF file:
```
data_BeCd2Au
_space_group_name_H-M_alt 'P 1 2/m 1'
_space_group_IT_number 10
_cell_length_a 3.240
_cell_length_b 4.238
_cell_length_c 5.310
_cell_angle_alpha 90.00
_cell_angle_beta 96.50
_cell_angle_gamma 90.00
loop_
_space_group_symop_operation_xyz
'x,y,z'
'-x,-y,-z'
'-x,y,-z'
'x,-y,z'
loop_
_atom_site_label
_atom_site_type_symbol
_atom_site_fract_x
_atom_site_fract_y
_atom_site_fract_z
Be1 Be 0.000 0.000 0.000
Cd1 Cd 0.347 0.500 0.233
Au1 Au 0.000 0.000 0.500
```

Calculated values
Energy of formation from the pure elements (eV per atom): 0.19
VASP energy (eV/atom): -2.017

[13]
First-principles (GGA-PBE) data for Be2CdAu after structural relaxation, as listed in Alexandria.

CIF file:
```
data_Be2CdAu
_space_group_name_H-M_alt 'I m m 2'
_space_group_IT_number 44
_cell_length_a 2.979
_cell_length_b 4.279
_cell_length_c 8.764
_cell_angle_alpha 90.00
_cell_angle_beta 90.00
_cell_angle_gamma 90.00
loop_
_space_group_symop_operation_xyz
'x,y,z'
'-x,-y,z'
'-x,y,z'
'x,-y,z'
'x+1/2,y+1/2,z+1/2'
'-x+1/2,-y+1/2,z+1/2'
'-x+1/2,y+1/2,z+1/2'
'x+1/2,-y+1/2,z+1/2'
loop_
_atom_site_label
_atom_site_type_symbol
_atom_site_fract_x
_atom_site_fract_y
_atom_site_fract_z
Be1 Be 0.000 0.000 0.000
Be2 Be 0.000 0.500 0.285
Cd1 Cd 0.000 0.500 0.774
Au1 Au 0.000 0.000 0.555
```

Calculated values
Energy of formation from the pure elements (eV per atom): 0.19
VASP energy (eV/atom): -2.726

[14]
First-principles (GGA-PBE) data for BeCd2Au after structural relaxation, as listed in Alexandria.

CIF file:
```
data_BeCd2Au
_space_group_name_H-M_alt 'P m m m'
_space_group_IT_number 47
_cell_length_a 3.444
_cell_length_b 3.505
_cell_length_c 5.837
_cell_angle_alpha 90.00
_cell_angle_beta 90.00
_cell_angle_gamma 90.00
loop_
_space_group_symop_operation_xyz
'x,y,z'
'-x,-y,-z'
'-x,-y,z'
'x,y,-z'
'x,-y,-z'
'-x,y,z'
'-x,y,-z'
'x,-y,z'
loop_
_atom_site_label
_atom_site_type_symbol
_atom_site_fract_x
_atom_site_fract_y
_atom_site_fract_z
Be1 Be 0.000 0.000 0.000
Cd1 Cd 0.500 0.500 0.236
Au1 Au 0.000 0.000 0.500
```

Calculated values
Energy of formation from the pure elements (eV per atom): 0.18
VASP energy (eV/atom): -2.032

[15]
First-principles (GGA-PBE) data for Be2Cd2Au7 after structural relaxation, as listed in Alexandria.

CIF file:
```
data_Be2Cd2Au7
_space_group_name_H-M_alt 'C 1 2/m 1'
_space_group_IT_number 12
_cell_length_a 7.260
_cell_length_b 14.000
_cell_length_c 4.558
_cell_angle_alpha 90.00
_cell_angle_beta 117.65
_cell_angle_gamma 90.00
loop_
_space_group_symop_operation_xyz
'x,y,z'
'-x,-y,-z'
'-x,y,-z'
'x,-y,z'
'x+1/2,y+1/2,z'
'-x+1/2,-y+1/2,-z'
'-x+1/2,y+1/2,-z'
'x+1/2,-y+1/2,z'
loop_
_atom_site_label
_atom_site_type_symbol
_atom_site_fract_x
_atom_site_fract_y
_atom_site_fract_z
Be1 Be 0.127 0.000 0.250
Cd1 Cd 0.000 0.336 0.000
Au1 Au 0.000 0.500 0.500
Au2 Au 0.205 0.165 0.302
Au3 Au 0.208 0.000 0.803
```

Calculated values
Energy of formation from the pure elements (eV per atom): -0.04
VASP energy (eV/atom): -2.968

[16]
First-principles (GGA-PBE) data for Be3Cd2Au9 after structural relaxation, as listed in Alexandria.

CIF file:
```
data_Be3Cd2Au9
_space_group_name_H-M_alt 'C 1 2/c 1'
_space_group_IT_number 15
_cell_length_a 13.101
_cell_length_b 7.455
_cell_length_c 10.525
_cell_angle_alpha 90.00
_cell_angle_beta 114.92
_cell_angle_gamma 90.00
loop_
_space_group_symop_operation_xyz
'x,y,z'
'-x,-y,-z'
'-x,y,-z+1/2'
'x,-y,z+1/2'
'x+1/2,y+1/2,z'
'-x+1/2,-y+1/2,-z'
'-x+1/2,y+1/2,-z+1/2'
'x+1/2,-y+1/2,z+1/2'
loop_
_atom_site_label
_atom_site_type_symbol
_atom_site_fract_x
_atom_site_fract_y
_atom_site_fract_z
Be1 Be 0.087 0.250 0.004
Be2 Be 0.250 0.250 0.500
Cd1 Cd 0.170 0.083 0.750
Au1 Au 0.000 0.333 0.750
Au2 Au 0.060 0.075 0.429
Au3 Au 0.108 0.411 0.570
Au4 Au 0.120 0.295 0.251
Au5 Au 0.228 0.416 0.933
```

Calculated values
Energy of formation from the pure elements (eV per atom): -0.12
VASP energy (eV/atom): -3.151

[17]
First-principles (GGA-PBE) data for Be2Cd2Au after structural relaxation, as listed in Alexandria.

CIF file:
```
data_Be2Cd2Au
_space_group_name_H-M_alt 'P 4/m b m'
_space_group_IT_number 127
_space_group_name_Hall '-P 4 2ab'
_cell_length_a 6.302
_cell_length_b 6.302
_cell_length_c 3.921
_cell_angle_alpha 90.00
_cell_angle_beta 90.00
_cell_angle_gamma 90.00
loop_
_atom_site_label
_atom_site_type_symbol
_atom_site_fract_x
_atom_site_fract_y
_atom_site_fract_z
Be1 Be 0.130 0.370 0.000
Cd1 Cd 0.166 0.666 0.500
Au1 Au 0.000 0.000 0.000
```

Calculated values
Energy of formation from the pure elements (eV per atom): 0.16
VASP energy (eV/atom): -2.348

[18]
First-principles (GGA-PBE) data for Be4CdAu5 after structural relaxation, as listed in Alexandria.

CIF file:
```
data_Be4CdAu5
_space_group_name_H-M_alt 'P 4/m m m'
_space_group_IT_number 123
_space_group_name_Hall '-P 4 2'
_cell_length_a 2.988
_cell_length_b 2.988
_cell_length_c 16.034
_cell_angle_alpha 90.00
_cell_angle_beta 90.00
_cell_angle_gamma 90.00
loop_
_atom_site_label
_atom_site_type_symbol
_atom_site_fract_x
_atom_site_fract_y
_atom_site_fract_z
Be1 Be 0.000 0.000 0.090
Be2 Be 0.000 0.000 0.275
Cd1 Cd 0.000 0.000 0.500
Au1 Au 0.500 0.500 0.000
Au2 Au 0.500 0.500 0.183
Au3 Au 0.500 0.500 0.364
```

Calculated values
Energy of formation from the pure elements (eV per atom): -0.13
VASP energy (eV/atom): -3.351

[19]
First-principles (GGA-PBE) data for BeCdAu after structural relaxation, as listed in Alexandria.

CIF file:
```
data_BeCdAu
_space_group_name_H-M_alt 'I 4 m m'
_space_group_IT_number 107
_space_group_name_Hall 'I 4 -2'
_cell_length_a 3.011
_cell_length_b 3.011
_cell_length_c 10.586
_cell_angle_alpha 90.00
_cell_angle_beta 90.00
_cell_angle_gamma 90.00
loop_
_atom_site_label
_atom_site_type_symbol
_atom_site_fract_x
_atom_site_fract_y
_atom_site_fract_z
Be1 Be 0.000 0.000 0.000
Cd1 Cd 0.000 0.000 0.678
Au1 Au 0.000 0.000 0.389
```

Calculated values
Energy of formation from the pure elements (eV per atom): 0.01
VASP energy (eV/atom): -2.627

[20]
First-principles (GGA-PBE) data for BeCd2Au after structural relaxation, as listed in Alexandria.

CIF file:
```
data_BeCd2Au
_space_group_name_H-M_alt 'I -4 2 d'
_space_group_IT_number 122
_space_group_name_Hall 'I -4 2bw'
_cell_length_a 8.645
_cell_length_b 8.645
_cell_length_c 4.553
_cell_angle_alpha 90.00
_cell_angle_beta 90.00
_cell_angle_gamma 90.00
loop_
_atom_site_label
_atom_site_type_symbol
_atom_site_fract_x
_atom_site_fract_y
_atom_site_fract_z
Be1 Be 0.000 0.000 0.000
Cd1 Cd 0.136 0.250 0.125
Au1 Au 0.000 0.000 0.500
```

Calculated values
Energy of formation from the pure elements (eV per atom): 0.25
VASP energy (eV/atom): -1.958

The following calculated volume values (in Å³ per cell) correspond, in order, to the records above: 84.8 112.6 56.2 57.8 112.3 718.5 138.9 313.1 255.9 326.2 145.2 72.4 111.7 70.5 410.4 932.2 155.7 143.2 96.0 340.3.